Entry 1:
{
  "formula": "Mg2CuSiPd",
  "functional": "PBE",
  "state": "optimized geometry",
  "e_form_raw_ev_per_atom": 0.4249,
  "magmom_total_mub_per_cell": 0.0,
  "cell": [[-0.641, -3.033, -3.523], [-0.909, -3.360, 3.058], [-4.556, 1.114, -0.130]],
  "species": ["Mg", "Mg", "Si", "Cu", "Pd"],
  "fractional_positions": [[0.000, 0.000, 0.500], [0.500, 0.000, 0.000], [0.500, 0.500, 0.500], [0.000, 0.000, 0.000], [0.000, 0.500, 0.000]]
}


Entry 2:
{
  "formula": "Ti2HgAs2",
  "functional": "PBE",
  "state": "optimized geometry",
  "magmom_total_mub_per_cell": 0.0,
  "e_above_lowest_polymorph_ev_per_fu": 0.569,
  "cell": [[-0.625, 6.097, 4.182], [-6.509, -2.444, 2.590], [1.556, -1.531, 2.465]],
  "species": ["As", "As", "As", "As", "Hg", "Hg", "Ti", "Ti", "Ti", "Ti"],
  "fractional_positions": [[0.353, 0.853, 0.000], [0.853, 0.647, 0.000], [0.647, 0.147, 0.000], [0.147, 0.353, 0.000], [0.000, 0.000, 0.000], [0.500, 0.500, 0.000], [0.137, 0.637, 0.500], [0.637, 0.863, 0.500], [0.863, 0.363, 0.500], [0.363, 0.137, 0.500]]
}


Entry 3:
{
  "formula": "K2Sr2I",
  "functional": "PBE",
  "state": "optimized geometry",
  "e_form_raw_ev_per_atom": -0.2571,
  "magmom_total_mub_per_cell": 0.0,
  "e_above_lowest_polymorph_ev_per_fu": 0.292,
  "cell": [[-6.338, 1.948, -6.033], [-3.525, -8.174, 1.063], [-4.490, 2.662, 5.576]],
  "species": ["I", "I", "Sr", "Sr", "Sr", "Sr", "K", "K", "K", "K"],
  "fractional_positions": [[0.000, 0.000, 0.000], [0.500, 0.500, 0.000], [0.168, 0.668, 0.500], [0.668, 0.832, 0.500], [0.832, 0.332, 0.500], [0.332, 0.168, 0.500], [0.342, 0.842, 0.000], [0.842, 0.658, 0.000], [0.658, 0.158, 0.000], [0.158, 0.342, 0.000]]
}


Entry 4:
{
  "formula": "CaC3Se",
  "functional": "PBE",
  "state": "optimized geometry",
  "e_form_raw_ev_per_atom": 3.4550,
  "magmom_total_mub_per_cell": 0.0,
  "e_above_lowest_polymorph_ev_per_fu": 6.558,
  "cell": [[-1.210, 2.601, 3.494], [-3.699, 1.301, -2.249], [-2.299, -3.461, 1.780]],
  "species": ["Ca", "C", "C", "C", "Se"],
  "fractional_positions": [[0.000, 0.000, 0.000], [0.000, 0.500, 0.000], [0.000, 0.000, 0.500], [0.500, 0.000, 0.000], [0.500, 0.500, 0.500]]
}


Entry 5:
{
  "formula": "Si2AsBr",
  "functional": "PBE",
  "state": "optimized geometry",
  "e_form_raw_ev_per_atom": 0.5032,
  "magmom_total_mub_per_cell": 0.0,
  "e_above_lowest_polymorph_ev_per_fu": 1.783,
  "cell": [[5.958, 0.033, 0.007], [3.174, 5.042, -0.007], [-4.041, -3.482, 2.654]],
  "species": ["As", "Br", "Si", "Si"],
  "fractional_positions": [[0.544, 0.544, 0.000], [0.257, 0.757, 0.500], [0.951, 0.951, 0.000], [0.748, 0.248, 0.500]]
}


Entry 6:
{
  "formula": "MgTa2W",
  "functional": "PBE",
  "state": "optimized geometry",
  "magmom_total_mub_per_cell": 0.0,
  "e_tot_ev_per_atom": -9.2238,
  "cell": [[2.730, 0.000, 0.000], [0.000, 4.572, 0.000], [0.000, 0.000, 5.759]],
  "species": ["Mg", "Ta", "Ta", "W"],
  "fractional_positions": [[0.500, 0.500, 0.749], [0.000, 0.000, 0.002], [0.500, 0.500, 0.256], [0.000, 0.000, 0.493]]
}


Entry 7:
{
  "formula": "Pr12Er6Pu",
  "functional": "PBE",
  "state": "optimized geometry",
  "magmom_total_mub_per_cell": 7.0,
  "e_tot_ev_per_atom": -5.1742,
  "cell": [[9.082, -0.615, -3.095], [-4.136, 8.109, -3.095], [-0.406, -0.615, 9.587]],
  "species": ["Pr", "Pr", "Pr", "Pr", "Pr", "Pr", "Pr", "Pr", "Pr", "Pr", "Pr", "Pr", "Er", "Er", "Er", "Er", "Er", "Er", "Pu"],
  "fractional_positions": [[0.373, 0.059, 0.582], [0.059, 0.582, 0.373], [0.582, 0.373, 0.059], [0.627, 0.941, 0.418], [0.941, 0.418, 0.627], [0.418, 0.627, 0.941], [0.103, 0.155, 0.740], [0.260, 0.897, 0.845], [0.845, 0.260, 0.897], [0.897, 0.845, 0.260], [0.740, 0.103, 0.155], [0.155, 0.740, 0.103], [0.214, 0.317, 0.469], [0.683, 0.531, 0.786], [0.531, 0.786, 0.683], [0.786, 0.683, 0.531], [0.317, 0.469, 0.214], [0.469, 0.214, 0.317], [0.000, 0.000, 0.000]]
}


Entry 8:
{
  "formula": "SrCaEuAl",
  "functional": "PBE",
  "state": "optimized geometry",
  "magmom_total_mub_per_cell": 7.4,
  "e_tot_ev_per_atom": -4.4224,
  "cell": [[5.800, 0.000, 0.000], [2.900, 5.023, 0.000], [2.900, 1.674, 4.735]],
  "species": ["Eu", "Sr", "Ca", "Al"],
  "fractional_positions": [[0.250, 0.250, 0.250], [0.750, 0.750, 0.750], [0.500, 0.500, 0.500], [0.000, 0.000, 0.000]]
}


Entry 9:
{
  "formula": "Na3SrS8",
  "functional": "PBE",
  "state": "optimized geometry",
  "e_form_raw_ev_per_atom": -0.6674,
  "magmom_total_mub_per_cell": 0.0,
  "cell": [[7.471, 0.000, 1.116], [-3.820, 5.206, 3.219], [-0.170, 0.000, 7.555]],
  "species": ["Na", "Na", "Na", "Sr", "S", "S", "S", "S", "S", "S", "S", "S"],
  "fractional_positions": [[0.834, 0.500, 0.667], [0.334, 0.500, 0.166], [0.583, 0.000, 0.416], [0.083, 0.000, 0.917], [0.932, 0.000, 0.562], [0.488, 0.513, 0.512], [0.975, 0.487, 0.025], [0.438, 0.000, 0.067], [0.728, 0.000, 0.766], [0.679, 0.487, 0.322], [0.192, 0.513, 0.809], [0.234, 0.000, 0.272]]
}


Entry 10:
{
  "formula": "Sc5Tl2HgRh2",
  "functional": "PBE",
  "state": "optimized geometry",
  "magmom_total_mub_per_cell": 0.0,
  "e_tot_ev_per_atom": -5.6588,
  "cell": [[3.378, 0.000, 0.000], [0.000, 11.370, 0.000], [0.000, 0.000, 11.370]],
  "species": ["Sc", "Sc", "Sc", "Sc", "Sc", "Sc", "Sc", "Sc", "Sc", "Sc", "Tl", "Tl", "Tl", "Tl", "Hg", "Hg", "Rh", "Rh", "Rh", "Rh"],
  "fractional_positions": [[0.500, 0.203, 0.078], [0.500, 0.797, 0.922], [0.500, 0.078, 0.797], [0.500, 0.703, 0.422], [0.500, 0.922, 0.203], [0.500, 0.297, 0.578], [0.500, 0.578, 0.703], [0.500, 0.422, 0.297], [0.500, 0.500, 0.000], [0.500, 0.000, 0.500], [0.000, 0.670, 0.170], [0.000, 0.330, 0.830], [0.000, 0.170, 0.330], [0.000, 0.830, 0.670], [0.000, 0.000, 0.000], [0.000, 0.500, 0.500], [0.000, 0.131, 0.631], [0.000, 0.869, 0.369], [0.000, 0.631, 0.869], [0.000, 0.369, 0.131]]
}


Entry 11:
{
  "formula": "Tl5TeI4",
  "functional": "PBE",
  "state": "optimized geometry",
  "e_form_raw_ev_per_atom": -0.5099,
  "magmom_total_mub_per_cell": 0.0,
  "e_above_lowest_polymorph_ev_per_fu": 0.083,
  "cell": [[6.837, 0.000, 0.000], [3.419, 7.852, 0.000], [3.419, 0.000, 7.852]],
  "species": ["Tl", "Tl", "Tl", "Tl", "Tl", "Te", "I", "I", "I", "I"],
  "fractional_positions": [[0.905, 0.381, 0.811], [0.286, 0.811, 0.619], [0.716, 0.189, 0.381], [0.096, 0.619, 0.189], [0.503, 0.000, 0.000], [0.003, 0.000, 0.000], [0.403, 0.399, 0.797], [0.801, 0.797, 0.601], [0.200, 0.203, 0.399], [0.599, 0.601, 0.203]]
}


Entry 12:
{
  "formula": "Ac2ScCuO6",
  "functional": "PBE",
  "state": "optimized geometry",
  "e_form_raw_ev_per_atom": -2.6796,
  "magmom_total_mub_per_cell": 4.0,
  "cell": [[-5.296, -2.148, -0.714], [2.086, -5.315, 0.513], [-1.230, 0.290, 8.012]],
  "species": ["Ac", "Ac", "Ac", "Ac", "Sc", "Sc", "Cu", "Cu", "O", "O", "O", "O", "O", "O", "O", "O", "O", "O", "O", "O"],
  "fractional_positions": [[0.005, 0.975, 0.251], [0.505, 0.525, 0.751], [0.995, 0.025, 0.749], [0.495, 0.475, 0.249], [0.500, 0.000, 0.500], [0.000, 0.500, 0.000], [0.500, 0.000, 0.000], [0.000, 0.500, 0.500], [0.281, 0.725, 0.037], [0.781, 0.775, 0.537], [0.719, 0.275, 0.963], [0.219, 0.225, 0.463], [0.273, 0.719, 0.463], [0.773, 0.781, 0.963], [0.727, 0.281, 0.537], [0.227, 0.219, 0.037], [0.932, 0.512, 0.253], [0.432, 0.988, 0.753], [0.068, 0.488, 0.747], [0.568, 0.012, 0.247]]
}